1.
This record from Alexandria via LeMat-Bulk describes a relaxed PrVSi2Os crystal. The functional is PBE.

a = 4.0595 Å, b = 4.0595 Å, c = 6.0731 Å
α = 109.52°, β = 109.52°, γ = 90.00°
Fractional coordinates of all 5 atoms:
V (0.7500, 0.2500, 0.5000)
Si (0.6205, 0.6205, 0.2409)
Si (0.3795, 0.3795, 0.7591)
Os (0.2500, 0.7500, 0.5000)
Pr (0.0000, 0.0000, 0.0000)

Formation energy without anion corrections ... -3.04 eV per formula unit
E ... -7.80 eV/atom

2.
This record from Alexandria via LeMat-Bulk describes a relaxed Pr2SmOs crystal. The functional is PBE.

a = 3.6744 Å, b = 3.6744 Å, c = 11.2412 Å
α = 80.59°, β = 80.59°, γ = 60.00°
Fractional coordinates of all 4 atoms:
Os (0.5000, 0.5000, 0.5000)
Pr (0.8921, 0.8921, 0.3237)
Pr (0.1079, 0.1079, 0.6763)
Sm (0.0000, 0.0000, 0.0000)

E ... -5.97 eV/atom
ΔE_f ... 0.410 eV/atom

3.
This record from Alexandria via LeMat-Bulk describes a relaxed Pr2SmOs crystal. The functional is PBE.

a = 6.5352 Å, b = 7.4904 Å, c = 9.7148 Å
α = 90.00°, β = 90.00°, γ = 90.00°
Fractional coordinates of all 16 atoms:
Os (0.0448, 0.3853, 0.2500)
Os (0.5448, 0.1147, 0.7500)
Os (0.9552, 0.6147, 0.7500)
Os (0.4552, 0.8853, 0.2500)
Pr (0.1711, 0.6750, 0.4341)
Pr (0.3289, 0.1750, 0.4341)
Pr (0.8289, 0.3250, 0.5659)
Pr (0.1711, 0.6750, 0.0659)
Pr (0.6711, 0.8250, 0.9341)
Pr (0.6711, 0.8250, 0.5659)
Pr (0.8289, 0.3250, 0.9341)
Pr (0.3289, 0.1750, 0.0659)
Sm (0.6437, 0.5438, 0.2500)
Sm (0.3563, 0.4562, 0.7500)
Sm (0.8563, 0.0438, 0.2500)
Sm (0.1437, 0.9562, 0.7500)

E ... -6.47 eV/atom
ΔE_f ... -0.096 eV/atom

4.
This record from Alexandria via LeMat-Bulk describes a relaxed PrSm2Os crystal. The functional is PBE.

a = 3.4798 Å, b = 3.4798 Å, c = 9.6109 Å
α = 90.00°, β = 90.00°, γ = 90.00°
Fractional coordinates of all 4 atoms:
Pr (0.5000, 0.5000, 0.5000)
Os (0.5000, 0.5000, 0.0000)
Sm (0.0000, 0.0000, 0.8236)
Sm (0.0000, 0.0000, 0.1764)

E ... -6.38 eV/atom
ΔE_f ... -0.014 eV/atom

5.
This record from Alexandria via LeMat-Bulk describes a relaxed PrSm2Os crystal. The functional is PBE.

a = 4.0449 Å, b = 6.5144 Å, c = 9.3101 Å
α = 90.00°, β = 90.00°, γ = 108.09°
Fractional coordinates of all 8 atoms:
Pr (0.4232, 0.8465, 0.2500)
Pr (0.5768, 0.1535, 0.7500)
Sm (0.1460, 0.2921, 0.4308)
Sm (0.8540, 0.7079, 0.9308)
Sm (0.8540, 0.7079, 0.5692)
Sm (0.1460, 0.2921, 0.0692)
Os (0.7550, 0.5101, 0.2500)
Os (0.2450, 0.4899, 0.7500)

E ... -6.47 eV/atom
ΔE_f ... -0.110 eV/atom

6.
This record from Alexandria via LeMat-Bulk describes a relaxed PrSm3Os crystal. The functional is PBE.

a = 5.5630 Å, b = 5.5630 Å, c = 5.5630 Å
α = 90.00°, β = 90.00°, γ = 90.00°
Fractional coordinates of all 5 atoms:
Sm (0.0000, 0.0000, 0.5000)
Sm (0.0000, 0.5000, 0.0000)
Sm (0.5000, 0.0000, 0.0000)
Os (0.0000, 0.0000, 0.0000)
Pr (0.5000, 0.5000, 0.5000)

E ... -5.96 eV/atom
ΔE_f ... 0.076 eV/atom

7.
This record from Alexandria via LeMat-Bulk describes a relaxed Pr4SmOs2 crystal. The functional is PBE.

a = 6.6396 Å, b = 8.0258 Å, c = 8.1287 Å
α = 112.42°, β = 90.00°, γ = 90.00°
Fractional coordinates of all 14 atoms:
Pr (0.2500, 0.9785, 0.6233)
Pr (0.9967, 0.4169, 0.7610)
Pr (0.2500, 0.2388, 0.3217)
Pr (0.7500, 0.7612, 0.6783)
Pr (0.4967, 0.5831, 0.2390)
Pr (0.0033, 0.5831, 0.2390)
Pr (0.5033, 0.4169, 0.7610)
Pr (0.7500, 0.0215, 0.3767)
Sm (0.7500, 0.1574, 0.0325)
Sm (0.2500, 0.8426, 0.9675)
Os (0.2500, 0.6243, 0.5929)
Os (0.7500, 0.7493, 0.0187)
Os (0.2500, 0.2507, 0.9813)
Os (0.7500, 0.3757, 0.4071)

E ... -6.59 eV/atom
ΔE_f ... 0.027 eV/atom

8.
This record from Alexandria via LeMat-Bulk describes a relaxed PrSm3Os crystal. The functional is PBE.

a = 7.4934 Å, b = 7.4934 Å, c = 7.4579 Å
α = 107.80°, β = 112.00°, γ = 108.83°
Fractional coordinates of all 10 atoms:
Sm (0.8503, 0.0536, 0.2999)
Sm (0.2992, 0.5538, 0.8529)
Sm (0.7538, 0.5504, 0.7001)
Sm (0.1497, 0.9464, 0.7001)
Sm (0.7008, 0.4462, 0.1471)
Sm (0.2462, 0.4496, 0.2999)
Os (0.6341, 0.7480, 0.3821)
Os (0.3659, 0.2520, 0.6179)
Pr (0.2931, 0.9454, 0.2385)
Pr (0.7069, 0.0546, 0.7615)

E ... -6.12 eV/atom
ΔE_f ... -0.090 eV/atom

Q: Which value of E does entry 6 give?
A: -5.96 eV/atom

Q: Number 4 is which compound?
A: PrSm2Os